Compound: KLiCa3
Source: Alexandria via LeMat-Bulk
Functional: PBE
Structure: relaxed

V (Å³ per cell): 229.2
DFT formation energy (meV per atom): 208
Theoretical density (g cm⁻³): 1.20

a = 6.1197 Å, b = 6.1197 Å, c = 6.1197 Å
α = 90.00°, β = 90.00°, γ = 90.00°
Closest atoms and distances in Å follow each position.
Element x y z (fractional)
K (0.0000, 0.0000, 0.0000)  12 Ca 4.33
Li (0.5000, 0.5000, 0.5000)  6 Ca 3.06
Ca (0.0000, 0.5000, 0.5000)  2 Li 3.06
Ca (0.5000, 0.0000, 0.5000)  2 Li 3.06
Ca (0.5000, 0.5000, 0.0000)  2 Li 3.06